No. 1
{
  "formula": "Tb6Co2Pt",
  "functional": "PBE",
  "state": "optimized geometry",
  "sg": "Immm (71)",
  "de_polymorph_mev_per_atom": 0,
  "lattice_angstrom": [[-4.683, 4.707, 4.843], [4.683, -4.707, 4.843], [4.683, 4.707, -4.843]],
  "species": ["Tb", "Tb", "Tb", "Tb", "Tb", "Tb", "Tb", "Tb", "Tb", "Tb", "Tb", "Tb", "Co", "Co", "Co", "Co", "Pt", "Pt"],
  "fractional_positions": [[0.012, 0.826, 0.186], [0.247, 0.559, 0.312], [0.247, 0.935, 0.688], [0.272, 0.322, 0.594], [0.272, 0.678, 0.951], [0.359, 0.174, 0.186], [0.641, 0.826, 0.814], [0.728, 0.322, 0.049], [0.728, 0.678, 0.406], [0.753, 0.065, 0.312], [0.753, 0.441, 0.688], [0.988, 0.174, 0.814], [0.000, 0.165, 0.165], [0.000, 0.835, 0.835], [0.386, 0.386, 0.000], [0.614, 0.614, 0.000], [0.000, 0.500, 0.500], [0.500, 0.000, 0.500]]
}



No. 2
{
  "formula": "Tb2Th2CoPt2",
  "functional": "PBE",
  "state": "optimized geometry",
  "sg": "C2/m (12)",
  "lattice_angstrom": [[13.919, 0.000, 0.000], [0.000, 4.052, 0.000], [-3.051, 0.000, 6.264]],
  "species": ["Tb", "Tb", "Tb", "Tb", "Th", "Th", "Th", "Th", "Co", "Co", "Pt", "Pt", "Pt", "Pt"],
  "fractional_positions": [[0.018, 0.000, 0.254], [0.482, 0.500, 0.746], [0.518, 0.500, 0.254], [0.982, 0.000, 0.746], [0.211, 0.500, 0.733], [0.289, 0.000, 0.267], [0.711, 0.000, 0.733], [0.789, 0.500, 0.267], [0.000, 0.500, 0.500], [0.500, 0.000, 0.500], [0.127, 0.500, 0.066], [0.373, 0.000, 0.934], [0.627, 0.000, 0.066], [0.873, 0.500, 0.934]]
}



No. 3
{
  "formula": "TbTmCoPt",
  "functional": "PBE",
  "state": "optimized geometry",
  "sg": "F-43m (216)",
  "lattice_angstrom": [[6.824, 0.000, 0.000], [0.000, 6.824, 0.000], [0.000, 0.000, 6.824]],
  "species": ["Tb", "Tb", "Tb", "Tb", "Tm", "Tm", "Tm", "Tm", "Co", "Co", "Co", "Co", "Pt", "Pt", "Pt", "Pt"],
  "fractional_positions": [[0.000, 0.000, 0.000], [0.000, 0.500, 0.500], [0.500, 0.000, 0.500], [0.500, 0.500, 0.000], [0.000, 0.000, 0.500], [0.000, 0.500, 0.000], [0.500, 0.000, 0.000], [0.500, 0.500, 0.500], [0.250, 0.250, 0.750], [0.250, 0.750, 0.250], [0.750, 0.250, 0.250], [0.750, 0.750, 0.750], [0.250, 0.250, 0.250], [0.250, 0.750, 0.750], [0.750, 0.250, 0.750], [0.750, 0.750, 0.250]]
}



no.,formation enthalpy at 0 K (eV per atom),DOS at the Fermi energy (states/eV per cell)
1,-0.40,18.62
2,-0.70,10.40
3,-0.69,10.88